Entry 1:
SiB3Te at its PBEsol-relaxed geometry, computed with SCAN. Values from VASP.

## Properties
DOS(E_F)	1.9	states/eV/cell
magnetic moment	0.00	μB per formula unit
ΔE_f (raw)	1.4563	eV/atom

Quantum ESPRESSO input file:
```
&SYSTEM
  ibrav = 0, nat = 5, ntyp = 3
/
ATOMIC_SPECIES
Si 28.09 Si.upf
B 10.81 B.upf
Te 127.60 Te.upf
CELL_PARAMETERS angstrom
4.100 0.000 0.000
0.000 4.100 0.000
0.000 0.000 4.100
ATOMIC_POSITIONS angstrom
Si 0.000 0.000 0.000
B 0.000 0.000 2.050
B 0.000 2.050 0.000
B 2.050 0.000 0.000
Te 2.050 2.050 2.050
```

=====

Entry 2:
MgCd2 at its PBEsol-relaxed geometry, computed with SCAN. Values from VASP.

## Properties
DOS(E_F)	4.0	states/eV/cell
magnetic moment	0.00	μB per formula unit
VASP energy	-22.043	eV per atom

Quantum ESPRESSO input file:
```
&SYSTEM
  ibrav = 0, nat = 12, ntyp = 2
/
ATOMIC_SPECIES
Mg 24.30 Mg.upf
Cd 112.41 Cd.upf
CELL_PARAMETERS angstrom
6.281 0.000 0.000
0.000 4.413 0.000
0.000 0.000 8.990
ATOMIC_POSITIONS angstrom
Mg 0.826 1.103 0.810
Mg 2.315 3.310 5.305
Mg 3.966 1.103 3.686
Mg 5.455 3.310 8.181
Cd 0.751 1.103 6.781
Cd 0.834 1.103 3.796
Cd 2.307 3.310 8.291
Cd 2.389 3.310 2.286
Cd 3.892 1.103 6.704
Cd 3.974 1.103 0.699
Cd 5.447 3.310 5.195
Cd 5.530 3.310 2.209
```

=====

Entry 3:
Ba2ZrSe at its PBEsol-relaxed geometry, computed with SCAN. Values from VASP.

## Properties
DOS(E_F)	4.0	states/eV/cell
magnetic moment	0.00	μB per formula unit
ΔE_f (raw)	-0.4876	eV/atom

Quantum ESPRESSO input file:
```
&SYSTEM
  ibrav = 0, nat = 4, ntyp = 3
/
ATOMIC_SPECIES
Ba 137.33 Ba.upf
Zr 91.22 Zr.upf
Se 78.96 Se.upf
CELL_PARAMETERS angstrom
6.295 -1.844 0.000
6.295 1.844 0.000
-1.935 0.000 5.452
ATOMIC_POSITIONS angstrom
Ba 0.000 0.000 0.000
Ba 1.200 0.000 3.438
Zr 9.510 0.000 1.226
Se 4.615 0.000 2.632
```

=====

Entry 4:
CSe2 at its PBEsol-relaxed geometry, computed with SCAN. Values from VASP.

## Properties
DOS(E_F)	1.8	states/eV/cell
magnetic moment	0.00	μB per formula unit
ΔE_f (raw)	1.5920	eV/atom

Quantum ESPRESSO input file:
```
&SYSTEM
  ibrav = 0, nat = 3, ntyp = 2
/
ATOMIC_SPECIES
C 12.01 C.upf
Se 78.96 Se.upf
CELL_PARAMETERS angstrom
3.137 0.000 0.000
0.000 3.137 0.000
0.000 0.000 4.572
ATOMIC_POSITIONS angstrom
C 0.000 0.000 0.000
Se 0.000 0.000 2.286
Se 1.568 1.568 0.000
```

=====

Entry 5:
LaMnIr at its PBEsol-relaxed geometry, computed with SCAN. Values from VASP.

## Properties
DOS(E_F)	1.1	states/eV/cell
magnetic moment	4.83	μB per formula unit
VASP energy	-44.532	eV per atom

Quantum ESPRESSO input file:
```
&SYSTEM
  ibrav = 0, nat = 3, ntyp = 3
/
ATOMIC_SPECIES
La 138.91 La.upf
Mn 54.94 Mn.upf
Ir 192.22 Ir.upf
CELL_PARAMETERS angstrom
0.000 3.268 3.268
3.268 0.000 3.268
3.268 3.268 0.000
ATOMIC_POSITIONS angstrom
La 0.000 0.000 0.000
Mn 3.268 3.268 3.268
Ir 4.901 4.901 4.901
```

=====

Entry 6:
CrInSnSe2 at its PBEsol-relaxed geometry, computed with SCAN. Values from VASP.

## Properties
DOS(E_F)	3.2	states/eV/cell
magnetic moment	2.97	μB per formula unit
ΔE_f (raw)	0.1064	eV/atom

Quantum ESPRESSO input file:
```
&SYSTEM
  ibrav = 0, nat = 5, ntyp = 4
/
ATOMIC_SPECIES
Cr 52.00 Cr.upf
In 114.82 In.upf
Sn 118.71 Sn.upf
Se 78.96 Se.upf
CELL_PARAMETERS angstrom
4.760 0.000 0.000
0.000 4.760 0.000
0.000 0.000 5.180
ATOMIC_POSITIONS angstrom
Cr 0.000 0.000 0.000
In 0.000 0.000 2.590
Sn 2.380 2.380 2.590
Se 0.000 2.380 0.000
Se 2.380 0.000 0.000
```